# GGA-PBE Li2RuF, relaxed
# - polymorph energy (0 for the lowest one) (kJ/mol of atoms) = 134.6
# - density (g/cm3) = 4.1
# - Fermi-level density of states (states/eV/atom) = 0.752
# - formation energy from raw total energies (eV/atom) = 0.0801
data_Li2RuF
_cell_length_a 6.0268
_cell_length_b 6.0268
_cell_length_c 6.0268
_cell_angle_alpha 90.00
_cell_angle_beta 90.00
_cell_angle_gamma 90.00
_symmetry_space_group_name_H-M 'F m -3 m'
_symmetry_Int_Tables_number 225
_symmetry_space_group_name_Hall '-F 4 2 3'
loop_
_atom_site_label
_atom_site_type_symbol
_atom_site_fract_x
_atom_site_fract_y
_atom_site_fract_z
Li1 Li 0.2500 0.2500 0.2500
Ru1 Ru 0.0000 0.0000 0.0000
F1 F 0.0000 0.0000 0.5000

# GGA-PBE UBSe6, relaxed
# - density (g/cm3) = 6.5
# - Fermi-level density of states (states/eV/atom) = 0.748
# - formation energy from raw total energies (eV/atom) = -0.0049
data_UBSe6
_cell_length_a 4.9617
_cell_length_b 11.5370
_cell_length_c 6.7375
_cell_angle_alpha 90.00
_cell_angle_beta 106.75
_cell_angle_gamma 90.00
_symmetry_space_group_name_H-M 'C 1 2/m 1'
_symmetry_Int_Tables_number 12
_symmetry_space_group_name_Hall '-C 2y'
loop_
_atom_site_label
_atom_site_type_symbol
_atom_site_fract_x
_atom_site_fract_y
_atom_site_fract_z
U1 U 0.0000 0.0000 0.0000
B1 B 0.0000 0.5000 0.5000
Se1 Se 0.0961 0.5000 0.2411
Se2 Se 0.1350 0.1770 0.2770

Question: Which of these has the highest density?
Answer: UBSe6